(1)
{
  "formula": "Tm4Cd3",
  "functional": "PBE",
  "state": "optimized geometry",
  "lattice_angstrom": [[2.526, 1.458, 9.355], [-2.526, 1.458, 9.355], [0.000, -2.917, 9.355]],
  "species": ["Tm", "Tm", "Tm", "Tm", "Cd", "Cd", "Cd"],
  "fractional_positions": [[0.123, 0.123, 0.123], [0.294, 0.294, 0.294], [0.706, 0.706, 0.706], [0.877, 0.877, 0.877], [0.402, 0.402, 0.402], [0.500, 0.500, 0.500], [0.598, 0.598, 0.598]],
  "final_energy_ev_per_atom": -2.892,
  "sg": "No. 166",
  "magnetic_moment_mub_per_fu": 0.00,
  "formation_enthalpy_0k_ev_per_atom": 0.05
}

(2)
{
  "formula": "TmCd2",
  "functional": "PBE",
  "state": "optimized geometry",
  "lattice_angstrom": [[4.948, 0.000, 0.000], [-2.474, 4.285, 0.000], [0.000, 0.000, 3.384]],
  "species": ["Tm", "Cd", "Cd"],
  "fractional_positions": [[0.000, 0.000, 0.000], [0.333, 0.667, 0.500], [0.667, 0.333, 0.500]],
  "final_energy_ev_per_atom": -2.392,
  "sg": "No. 191",
  "magnetic_moment_mub_per_fu": 0.00,
  "formation_enthalpy_0k_ev_per_atom": -0.29
}

(3)
{
  "formula": "Tm6Cd5",
  "functional": "PBE",
  "state": "optimized geometry",
  "lattice_angstrom": [[2.567, -7.672, 0.000], [2.567, 7.672, 0.000], [0.000, 0.000, 7.457]],
  "species": ["Tm", "Tm", "Tm", "Tm", "Tm", "Tm", "Cd", "Cd", "Cd", "Cd", "Cd"],
  "fractional_positions": [[0.000, 0.000, 0.242], [0.000, 0.000, 0.758], [0.339, 0.661, 0.245], [0.339, 0.661, 0.755], [0.661, 0.339, 0.245], [0.661, 0.339, 0.755], [0.169, 0.831, 0.500], [0.171, 0.829, 0.000], [0.500, 0.500, 0.500], [0.829, 0.171, 0.000], [0.831, 0.169, 0.500]],
  "final_energy_ev_per_atom": -3.051,
  "sg": "No. 65",
  "magnetic_moment_mub_per_fu": 0.00,
  "formation_enthalpy_0k_ev_per_atom": -0.20
}

(4)
{
  "formula": "Tm4Cd",
  "functional": "PBE",
  "state": "optimized geometry",
  "lattice_angstrom": [[5.574, 0.000, 0.000], [0.000, 5.574, 0.000], [0.000, 0.000, 5.574]],
  "species": ["Tm", "Tm", "Tm", "Tm", "Cd"],
  "fractional_positions": [[0.000, 0.000, 0.000], [0.000, 0.500, 0.500], [0.500, 0.000, 0.500], [0.500, 0.500, 0.000], [0.500, 0.500, 0.500]],
  "final_energy_ev_per_atom": -3.305,
  "e_above_lowest_polymorph_mev_per_atom": 452,
  "sg": "No. 221",
  "magnetic_moment_mub_per_fu": 0.00,
  "formation_enthalpy_0k_ev_per_atom": 0.46
}

Number 1: density of states at the Fermi level 1.373 states/eV per atom. Number 2: density of states at the Fermi level 0.623 states/eV per atom. Number 3: density of states at the Fermi level 0.885 states/eV per atom. Number 4: density of states at the Fermi level 1.554 states/eV per atom.